Entry 1:
Entry from Alexandria: a relaxed Tm4AlCu2 crystal (GGA-PBE).

Calculated values
total DFT energy (no corrections)	-4.443	eV per atom
Fermi-level density of states	5.769	states/eV/cell
ρ	8.61	Mg/m³

POSCAR file:
```
Tm4AlCu2
1.0
4.649 0.000 1.452
2.098 4.149 1.452
-0.036 -0.022 8.281
Tm Cu Al
4 2 1
Direct
0.383 0.383 0.851
0.617 0.617 0.149
0.130 0.130 0.611
0.870 0.870 0.389
0.744 0.744 0.769
0.256 0.256 0.231
0.000 0.000 0.000
```

Entry 2:
Entry from Alexandria: a relaxed TmAl3Cu crystal (GGA-PBE).

Calculated values
total DFT energy (no corrections)	-4.356	eV per atom
Fermi-level density of states	5.690	states/eV/cell
ρ	5.87	Mg/m³

POSCAR file:
```
TmAl3Cu
1.0
-2.297 -1.712 2.848
6.198 -5.022 1.981
3.508 7.139 7.122
Al Cu Tm
12 4 4
Direct
0.250 0.061 0.411
0.750 0.939 0.589
0.250 0.356 0.285
0.250 0.392 0.712
0.750 0.608 0.288
0.750 0.439 0.911
0.250 0.856 0.215
0.750 0.108 0.212
0.750 0.644 0.715
0.750 0.144 0.785
0.250 0.561 0.089
0.250 0.892 0.788
0.250 0.113 0.638
0.750 0.887 0.362
0.250 0.613 0.862
0.750 0.387 0.138
0.250 0.178 0.998
0.750 0.822 0.002
0.250 0.678 0.502
0.750 0.322 0.498
```

Entry 3:
Entry from Alexandria: a relaxed Tm3Al3Cu2 crystal (GGA-PBE).

Calculated values
total DFT energy (no corrections)	-4.493	eV per atom
Fermi-level density of states	29.357	states/eV/cell
ρ	7.33	Mg/m³

POSCAR file:
```
Tm3Al3Cu2
1.0
5.596 0.000 0.000
0.000 7.970 0.000
0.000 0.000 14.521
Al Cu Tm
12 8 12
Direct
0.609 0.311 0.464
0.605 0.328 0.750
0.609 0.311 0.036
0.391 0.689 0.536
0.391 0.689 0.964
0.895 0.828 0.750
0.109 0.189 0.536
0.105 0.172 0.250
0.891 0.811 0.036
0.891 0.811 0.464
0.109 0.189 0.964
0.395 0.672 0.250
0.376 0.404 0.606
0.876 0.096 0.394
0.624 0.596 0.394
0.124 0.904 0.894
0.376 0.404 0.894
0.624 0.596 0.106
0.876 0.096 0.106
0.124 0.904 0.606
0.118 0.463 0.112
0.882 0.537 0.888
0.382 0.963 0.388
0.884 0.819 0.250
0.618 0.037 0.612
0.116 0.181 0.750
0.118 0.463 0.388
0.882 0.537 0.612
0.382 0.963 0.112
0.618 0.037 0.888
0.384 0.681 0.750
0.616 0.319 0.250
```

Entry 4:
Entry from Alexandria: a relaxed TmAl8Cu4 crystal (GGA-PBE).

Calculated values
total DFT energy (no corrections)	-4.206	eV per atom
Fermi-level density of states	2.907	states/eV/cell
ρ	5.35	Mg/m³

POSCAR file:
```
TmAl8Cu4
1.0
-5.633 -1.425 -3.406
5.086 -3.582 2.582
-2.838 1.960 5.785
Cu Al Tm
4 8 1
Direct
0.500 0.500 0.500
0.500 0.000 0.000
0.000 0.500 0.000
0.000 0.000 0.500
0.000 0.347 0.347
0.500 0.283 0.783
0.283 0.500 0.783
0.717 0.500 0.217
0.000 0.653 0.653
0.653 0.000 0.653
0.347 0.000 0.347
0.500 0.717 0.217
0.000 0.000 0.000
```

Entry 5:
Entry from Alexandria: a relaxed Tm5Al4Cu crystal (GGA-PBE).

Calculated values
total DFT energy (no corrections)	-4.511	eV per atom
Fermi-level density of states	5.216	states/eV/cell
ρ	7.67	Mg/m³

POSCAR file:
```
Tm5Al4Cu
1.0
3.395 0.000 0.000
0.000 3.395 0.000
0.000 0.000 19.090
Tm Al Cu
5 4 1
Direct
0.500 0.500 0.090
0.500 0.500 0.705
0.500 0.500 0.910
0.500 0.500 0.295
0.500 0.500 0.500
0.000 0.000 0.603
0.000 0.000 0.397
0.000 0.000 0.192
0.000 0.000 0.808
0.000 0.000 0.000
```

Entry 6:
Entry from Alexandria: a relaxed TmAl6Cu4 crystal (GGA-PBE).

Calculated values
total DFT energy (no corrections)	-4.163	eV per atom
Fermi-level density of states	2.689	states/eV/cell
ρ	5.37	Mg/m³

POSCAR file:
```
TmAl6Cu4
1.0
-1.557 -3.639 -4.984
-2.789 -0.894 5.651
-1.757 6.114 0.212
Al Cu Tm
6 4 1
Direct
0.500 0.500 0.000
0.500 0.000 0.500
0.614 0.103 0.103
0.386 0.489 0.489
0.000 0.511 0.897
0.000 0.897 0.511
0.669 0.411 0.411
0.331 0.742 0.742
0.000 0.258 0.589
0.000 0.589 0.258
0.000 0.000 0.000
```

Entry 7:
Entry from Alexandria: a relaxed TmAl4Cu2 crystal (GGA-PBE).

Calculated values
total DFT energy (no corrections)	-4.310	eV per atom
Fermi-level density of states	8.524	states/eV/cell
ρ	5.83	Mg/m³

POSCAR file:
```
TmAl4Cu2
1.0
-1.229 3.925 -0.565
-6.302 -1.974 -0.004
-0.693 2.179 16.627
Cu Tm Al
8 4 16
Direct
0.250 0.971 0.781
0.750 0.254 0.960
0.250 0.746 0.040
0.750 0.471 0.719
0.250 0.754 0.540
0.750 0.029 0.219
0.750 0.246 0.460
0.250 0.529 0.281
0.250 0.485 0.860
0.250 0.015 0.360
0.750 0.985 0.640
0.750 0.515 0.140
0.250 0.275 0.692
0.250 0.008 0.929
0.750 0.775 0.808
0.750 0.847 0.468
0.250 0.153 0.532
0.750 0.325 0.313
0.750 0.175 0.813
0.250 0.675 0.687
0.750 0.725 0.308
0.250 0.492 0.429
0.250 0.347 0.032
0.750 0.653 0.968
0.250 0.825 0.187
0.750 0.508 0.571
0.750 0.992 0.071
0.250 0.225 0.192
```

Entry 8:
Entry from Alexandria: a relaxed Tm2Al5Cu3 crystal (GGA-PBE).

Calculated values
total DFT energy (no corrections)	-4.403	eV per atom
Fermi-level density of states	9.001	states/eV/cell
ρ	6.31	Mg/m³

POSCAR file:
```
Tm2Al5Cu3
1.0
5.439 0.010 1.997
2.919 7.772 0.472
0.056 -0.257 8.311
Cu Al Tm
6 10 4
Direct
0.628 0.502 0.244
0.750 0.001 0.999
0.872 0.756 0.498
0.250 0.999 0.001
0.128 0.244 0.502
0.372 0.498 0.756
0.648 0.959 0.744
0.750 0.756 0.244
0.250 0.244 0.756
0.852 0.256 0.041
0.250 0.500 0.500
0.750 0.243 0.757
0.250 0.757 0.243
0.750 0.500 0.500
0.352 0.041 0.256
0.148 0.744 0.959
0.740 0.127 0.392
0.260 0.873 0.608
0.760 0.608 0.873
0.240 0.392 0.127
```

Entry 9:
Entry from Alexandria: a relaxed Tm3AlCu8 crystal (GGA-PBE).

Calculated values
total DFT energy (no corrections)	-4.395	eV per atom
Fermi-level density of states	8.086	states/eV/cell
ρ	9.14	Mg/m³

POSCAR file:
```
Tm3AlCu8
1.0
5.110 0.000 0.000
2.555 4.425 0.000
2.555 1.475 8.370
Cu Tm Al
8 3 1
Direct
0.441 0.938 0.683
0.687 0.687 0.938
0.188 0.188 0.435
0.435 0.435 0.189
0.941 0.435 0.189
0.435 0.941 0.189
0.938 0.938 0.683
0.938 0.441 0.683
0.379 0.379 0.864
0.505 0.505 0.486
0.994 0.994 0.019
0.869 0.869 0.392
```

Entry 10:
Entry from Alexandria: a relaxed TmAl2Cu9 crystal (GGA-PBE).

Calculated values
total DFT energy (no corrections)	-4.235	eV per atom
Fermi-level density of states	5.182	states/eV/cell
ρ	7.90	Mg/m³

POSCAR file:
```
TmAl2Cu9
1.0
4.927 0.000 0.000
2.463 4.267 0.000
2.463 1.422 7.946
Cu Tm Al
9 1 2
Direct
0.589 0.589 0.740
0.334 0.334 0.998
0.589 0.081 0.740
0.500 0.500 0.500
0.411 0.919 0.260
0.081 0.589 0.740
0.411 0.411 0.260
0.666 0.666 0.002
0.919 0.411 0.260
0.000 0.000 0.000
0.856 0.856 0.433
0.144 0.144 0.567
```